No. 1
# Zr2SiPd | OQMD | PBE-GGA | relaxed
# V in Å³ per cell: 287.40
# Total DFT energy (no corrections) in eV per atom: -7.05
data_Zr2SiPd
_cell_length_a 6.599
_cell_length_b 6.599
_cell_length_c 6.599
_cell_angle_alpha 90.00
_cell_angle_beta 90.00
_cell_angle_gamma 90.00
_space_group_name_H-M_alt 'F -4 3 m'
_space_group_IT_number 216
_space_group_name_Hall 'F -4 2 3'
loop_
_atom_site_label
_atom_site_type_symbol
_atom_site_fract_x
_atom_site_fract_y
_atom_site_fract_z
_atom_site_occupancy
Zr1 Zr 0.000 0.000 0.000 1
Zr2 Zr 0.250 0.250 0.250 1
Si1 Si 0.000 0.000 0.500 1
Pd1 Pd 0.250 0.250 0.750 1

No. 2
# Zr2Si2Pd | OQMD | PBE-GGA | relaxed
# V in Å³ per cell: 170.91
# Total DFT energy (no corrections) in eV per atom: -7.55
data_Zr2Si2Pd
_cell_length_a 6.482
_cell_length_b 6.482
_cell_length_c 4.067
_cell_angle_alpha 90.00
_cell_angle_beta 90.00
_cell_angle_gamma 90.00
_space_group_name_H-M_alt 'P 4/m b m'
_space_group_IT_number 127
_space_group_name_Hall '-P 4 2ab'
loop_
_atom_site_label
_atom_site_type_symbol
_atom_site_fract_x
_atom_site_fract_y
_atom_site_fract_z
_atom_site_occupancy
Zr1 Zr 0.173 0.327 0.000 1
Si1 Si 0.129 0.629 0.500 1
Pd1 Pd 0.000 0.000 0.500 1

No. 3
# ZrSi2Pd | OQMD | PBE-GGA | relaxed
# V in Å³ per cell: 132.09
# Total DFT energy (no corrections) in eV per atom: -6.69
data_ZrSi2Pd
_cell_length_a 3.751
_cell_length_b 4.961
_cell_length_c 7.098
_cell_angle_alpha 90.00
_cell_angle_beta 90.00
_cell_angle_gamma 90.00
_space_group_name_H-M_alt 'P m c 21'
_space_group_IT_number 26
loop_
_space_group_symop_operation_xyz
'x,y,z'
'-x,-y,z+1/2'
'-x,y,z'
'x,-y,z+1/2'
loop_
_atom_site_label
_atom_site_type_symbol
_atom_site_fract_x
_atom_site_fract_y
_atom_site_fract_z
_atom_site_occupancy
Zr1 Zr 0.000 0.112 0.000 1
Si1 Si 0.000 0.402 0.628 1
Si2 Si 0.500 0.111 0.725 1
Pd1 Pd 0.500 0.377 0.340 1

No. 4
# ZrSi2Pd | OQMD | PBE-GGA | relaxed
# V in Å³ per cell: 132.63
# Total DFT energy (no corrections) in eV per atom: -6.73
data_ZrSi2Pd
_cell_length_a 5.105
_cell_length_b 3.523
_cell_length_c 7.387
_cell_angle_alpha 90.00
_cell_angle_beta 93.30
_cell_angle_gamma 90.00
_space_group_name_H-M_alt 'P 1 21/m 1'
_space_group_IT_number 11
loop_
_space_group_symop_operation_xyz
'x,y,z'
'-x,-y,-z'
'-x,y+1/2,-z'
'x,-y+1/2,z'
loop_
_atom_site_label
_atom_site_type_symbol
_atom_site_fract_x
_atom_site_fract_y
_atom_site_fract_z
_atom_site_occupancy
Zr1 Zr 0.115 0.250 0.315 1
Si1 Si 0.151 0.750 0.030 1
Si2 Si 0.376 0.750 0.568 1
Pd1 Pd 0.396 0.250 0.836 1